# 1
Here is a relaxed GeIF2 crystal from Alexandria via LeMat-Bulk. Energies are from PBE-GGA.

Cell: 9.8366 9.8366 9.8366 Å, 18.61 18.61 18.61°
Last column: nearest neighbours and their distance in Å.
Sites, in units of the cell vectors:
I 0.5000 0.5000 0.5000  6 I 3.18, 6 F 3.52
Ge 0.0000 0.0000 0.0000  2 F 1.83
F 0.9369 0.9369 0.9369  1 Ge 1.83
F 0.0631 0.0631 0.0631  1 Ge 1.83

formation energy from raw total energies = -0.95 eV/atom
energy above the most stable polymorph in this dataset = 577 meV/atom
magnetic moment = 0.0 μB per cell



# 2
Here is a relaxed Cs2PmMg2Te4 crystal from Alexandria via LeMat-Bulk. Energies are from PBE-GGA.

Cell: 4.6042 9.1535 8.8949 Å, 106.66 105.00 90.00°
Last column: nearest neighbours and their distance in Å.
Sites, in units of the cell vectors:
Cs 0.1276 0.5465 0.2551  7 Te 3.89-4.02, 1 Cs 4.21
Cs 0.8724 0.4535 0.7449  7 Te 3.89-4.02, 1 Cs 4.21
Pm 0.0000 0.0000 0.0000  6 Te 3.23-3.34
Mg 0.6698 0.9773 0.3396  4 Te 2.76-2.92
Mg 0.3302 0.0227 0.6604  4 Te 2.76-2.92
Te 0.2011 0.1696 0.4022  3 Mg 2.85-2.92
Te 0.7989 0.8304 0.5978  3 Mg 2.85-2.92
Te 0.5172 0.7647 0.0344  1 Mg 2.76
Te 0.4828 0.2353 0.9656  1 Mg 2.76

formation energy from raw total energies = -1.07 eV/atom
magnetic moment = 0.8 μB per cell



# 3
Here is a relaxed AcTb5Mg6 crystal from Alexandria via LeMat-Bulk. Energies are from PBE-GGA.

Cell: 5.4458 7.7058 8.6158 Å, 90.00 71.58 90.00°
Last column: nearest neighbours and their distance in Å.
Sites, in units of the cell vectors:
Ac 0.0000 0.0000 0.0000  8 Mg 3.39-3.44
Tb 0.6644 0.5000 0.6712  8 Mg 3.25-3.30
Tb 0.3316 0.0000 0.3367  8 Mg 3.29-3.41
Tb 0.0000 0.5000 0.0000  8 Mg 3.28-3.36
Tb 0.6684 0.0000 0.6633  8 Mg 3.29-3.41
Tb 0.3356 0.5000 0.3288  8 Mg 3.25-3.30
Mg 0.8286 0.7416 0.3428  7 Tb 3.27-3.37, 1 Ac 3.44
Mg 0.8286 0.2584 0.3428  7 Tb 3.27-3.37, 1 Ac 3.44
Mg 0.5000 0.2621 0.0000  6 Tb 3.25-3.41, 2 Ac 3.39
Mg 0.5000 0.7379 0.0000  6 Tb 3.25-3.41, 2 Ac 3.39
Mg 0.1714 0.7416 0.6572  7 Tb 3.27-3.37, 1 Ac 3.44
Mg 0.1714 0.2584 0.6572  7 Tb 3.27-3.37, 1 Ac 3.44

calculated formation energy = -0.072 eV per atom
magnetic moment = 0.0 μB per cell



# 4
Here is a relaxed Sc3Co crystal from Alexandria via LeMat-Bulk. Energies are from PBE-GGA.

Cell: 4.7520 4.7520 4.7520 Å, 60.00 60.00 60.00°
Last column: nearest neighbours and their distance in Å.
Sites, in units of the cell vectors:
Co 0.0000 0.0000 0.0000  8 Sc 2.91
Sc 0.2500 0.2500 0.2500  4 Co 2.91, 4 Sc 2.91
Sc 0.5000 0.5000 0.5000  8 Sc 2.91
Sc 0.7500 0.7500 0.7500  4 Co 2.91, 4 Sc 2.91

calculated formation energy = 0.072 eV per atom
magnetic moment = 0.1 μB per cell



# 5
Here is a relaxed Pr2Zn3Ga4Pd crystal from Alexandria via LeMat-Bulk. Energies are from PBE-GGA.

Cell: 4.2797 4.2797 10.6549 Å, 90.00 90.00 90.00°
Last column: nearest neighbours and their distance in Å.
Sites, in units of the cell vectors:
Pr 0.5000 0.0000 0.2499  6 Zn 3.26-3.42, 8 Ga 3.28-3.42, 2 Pd 3.42
Pr 0.0000 0.5000 0.7501  6 Zn 3.26-3.42, 8 Ga 3.28-3.42, 2 Pd 3.42
Zn 0.0000 0.0000 0.5000  4 Ga 2.56
Zn 0.5000 0.0000 0.8645  5 Ga 2.48-2.58
Zn 0.0000 0.5000 0.1355  5 Ga 2.48-2.58
Ga 0.5000 0.5000 0.0000  4 Zn 2.58
Ga 0.0000 0.0000 0.0000  4 Zn 2.58
Ga 0.5000 0.0000 0.6314  3 Zn 2.48-2.56, 2 Pd 2.56
Ga 0.0000 0.5000 0.3686  3 Zn 2.48-2.56, 2 Pd 2.56
Pd 0.5000 0.5000 0.5000  4 Ga 2.56

calculated formation energy = -0.554 eV per atom
magnetic moment = 0.0 μB per cell



# 6
Here is a relaxed PtSe2BrF crystal from Alexandria via LeMat-Bulk. Energies are from PBE-GGA.

Cell: 4.2393 4.2393 6.1963 Å, 90.00 90.00 90.00°
Last column: nearest neighbours and their distance in Å.
Sites, in units of the cell vectors:
Se 0.0000 0.5000 0.0000  2 F 2.12
Se 0.5000 0.0000 0.0000  2 F 2.12
Br 0.0000 0.0000 0.5000  4 Pt 3.00, 2 F 3.10
Pt 0.5000 0.5000 0.5000  4 Br 3.00
F 0.0000 0.0000 0.0000  4 Se 2.12

formation energy from raw total energies = 0.73 eV/atom
energy above the most stable polymorph in this dataset = 411 meV/atom
magnetic moment = 1.3 μB per cell